Entry 1:
SrAuCl2 after structural relaxation. Source: Alexandria via LeMat-Bulk, functional PBE-GGA.

Summary:
Crystal system   cubic
Relative energy among the computed polymorphs   0.042 eV per atom
Total moment   0.00 μB/f.u.
ΔE_f (raw)   -1.192 eV per atom

Unit cell a=7.3242 b=7.3242 c=7.3242 alpha=90.00 beta=90.00 gamma=90.00
Last column: nearest neighbours and their distance in Å.
Space group Fm-3m (No. 225)
One atom of each set of equivalent atoms:
Sr: 0.0000 0.0000 0.0000 x4  8 Cl 3.17
Au: 0.0000 0.0000 0.5000 x4  8 Cl 3.17
Cl: 0.2500 0.2500 0.2500 x8  4 Au 3.17, 4 Sr 3.17

Entry 2:
MgSb2W after structural relaxation. Source: Alexandria via LeMat-Bulk, functional PBE-GGA.

Summary:
Crystal system   orthorhombic
Relative energy among the computed polymorphs   0.141 eV per atom
Total moment   0.00 μB/f.u.
ΔE_f (raw)   0.370 eV per atom

Unit cell a=3.6882 b=4.7823 c=10.5500 alpha=90.00 beta=90.00 gamma=90.00
Last column: nearest neighbours and their distance in Å.
Space group Cmm2 (No. 35)
One atom of each set of equivalent atoms:
Mg: 0.0000 0.0000 0.0000 x2  2 W 2.87, 4 Mg 3.02, 2 Sb 3.11
Sb: 0.0000 0.0000 0.4074 x2  2 W 2.80, 4 Sb 3.02
Sb: 0.0000 0.5000 0.7625 x2  4 Sb 3.02, 2 Mg 3.11
W: 0.0000 0.5000 0.2080 x2  2 Sb 2.80, 2 Mg 2.87, 4 W 3.02

Entry 3:
Ho4SnTe after structural relaxation. Source: Alexandria via LeMat-Bulk, functional PBE-GGA.

Summary:
Crystal system   triclinic
Total moment   0.00 μB/f.u.
ΔE_f (raw)   -0.451 eV per atom

Unit cell a=6.3540 b=7.4135 c=8.9178 alpha=76.30 beta=69.16 gamma=89.92
Last column: nearest neighbours and their distance in Å.
Space group P-1 (No. 2)
One atom of each set of equivalent atoms:
Ho: 0.0245 0.0517 0.1533 x2  1 Te 2.97, 1 Ho 3.12, 2 Sn 3.24-3.30
Ho: 0.1786 0.4484 0.8471 x2  1 Te 2.97, 1 Ho 3.12, 2 Sn 3.23-3.31
Ho: 0.2639 0.3715 0.2765 x2  2 Te 3.07-3.19, 2 Sn 3.12-3.17, 1 Ho 3.40
Ho: 0.4597 0.8722 0.2762 x2  2 Te 3.07-3.19, 2 Sn 3.12-3.17, 1 Ho 3.40
Sn: 0.3452 0.7497 0.0005 x2  8 Ho 3.12-3.31
Te: 0.0000 0.0000 0.5000 x1  6 Ho 2.97-3.19
Te: 0.5000 0.5000 0.5000 x1  6 Ho 2.97-3.19

- Look up the ΔE_f (raw) of the first one.
  -1.192 eV per atom